The following is a PBE calculation of a relaxed LaNdTl crystal, from the Alexandria database.

Lattice parameters (Å, degrees): 3.8362 8.0345 8.0345 91.60 90.00 90.00
With the nearest neighbours (Å) after each atom.
Fractional coordinates of all 6 atoms:
Tl 0.0000 0.0000 0.0000  2 Nd 3.11, 4 La 3.21
Tl 0.5000 0.5000 0.5000  4 Nd 3.14, 2 La 3.19
Nd 0.0000 0.7224 0.7224  3 Tl 3.11-3.14
Nd 0.0000 0.2776 0.2776  3 Tl 3.11-3.14
La 0.5000 0.2234 0.7766  3 Tl 3.19-3.21
La 0.5000 0.7766 0.2234  3 Tl 3.19-3.21

Properties
Space-group type: Cmmm (65)
Formation enthalpy at 0 K, kJ/mol of atoms: 10.0
E above lowest polymorph, eV/atom: 0.386

---

The following is a PBE calculation of a relaxed La8Nd2Tl crystal, from the Alexandria database.

Lattice parameters (Å, degrees): 6.3018 10.4869 10.4869 38.04 66.16 66.16
With the nearest neighbours (Å) after each atom.
Fractional coordinates of all 11 atoms:
La 0.3119 0.1037 0.5812  5 La 3.26-3.62, 1 Tl 3.40
La 0.3119 0.5812 0.1037  5 La 3.26-3.62, 1 Tl 3.40
La 0.6881 0.8963 0.4188  5 La 3.26-3.62, 1 Tl 3.40
La 0.2198 0.5287 0.5287  2 La 3.21-3.42, 1 Nd 3.46
La 0.6881 0.4188 0.8963  5 La 3.26-3.62, 1 Tl 3.40
La 0.3235 0.0985 0.0985  1 Tl 3.37, 3 La 3.48-3.57, 1 Nd 3.52
La 0.6765 0.9015 0.9015  1 Tl 3.37, 3 La 3.48-3.57, 1 Nd 3.52
La 0.7802 0.4713 0.4713  2 La 3.21-3.42, 1 Nd 3.46
Nd 0.8917 0.2844 0.2844  8 La 3.46-3.73, 2 Nd 3.72
Nd 0.1083 0.7156 0.7156  8 La 3.46-3.73, 2 Nd 3.72
Tl 0.0000 0.0000 0.0000  6 La 3.37-3.40

Properties
Space-group type: C2/m (12)
Formation enthalpy at 0 K, kJ/mol of atoms: 1.2
E above lowest polymorph, eV/atom: 0.032

---

The following is a PBE calculation of a relaxed La5Nd4Tl crystal, from the Alexandria database.

Lattice parameters (Å, degrees): 4.3226 4.3226 18.7367 90.00 90.00 90.00
With the nearest neighbours (Å) after each atom.
Fractional coordinates of all 10 atoms:
La 0.5000 0.5000 0.0872  1 La 3.27, 4 Tl 3.47
La 0.5000 0.5000 0.2987  8 Nd 3.57-3.61, 2 La 3.77-3.96
La 0.5000 0.5000 0.5000  8 Nd 3.61, 2 La 3.77
La 0.5000 0.5000 0.7013  8 Nd 3.57-3.61, 2 La 3.77-3.96
La 0.5000 0.5000 0.9128  1 La 3.27, 4 Tl 3.47
Nd 0.0000 0.0000 0.1965  8 La 3.61-3.68, 1 Tl 3.68, 1 Nd 3.77
Nd 0.0000 0.0000 0.3974  8 La 3.57-3.61, 2 Nd 3.77-3.84
Nd 0.0000 0.0000 0.6026  8 La 3.57-3.61, 2 Nd 3.77-3.84
Nd 0.0000 0.0000 0.8035  8 La 3.61-3.68, 1 Tl 3.68, 1 Nd 3.77
Tl 0.0000 0.0000 0.0000  8 La 3.47, 2 Nd 3.68

Properties
Space-group type: P4/mmm (123)
Formation enthalpy at 0 K, kJ/mol of atoms: -0.3
E above lowest polymorph, eV/atom: 0.000

---

The following is a PBE calculation of a relaxed La5Nd8Tl crystal, from the Alexandria database.

Lattice parameters (Å, degrees): 9.0417 9.0723 9.0417 85.88 122.54 122.17
With the nearest neighbours (Å) after each atom.
Fractional coordinates of all 14 atoms:
La 0.9630 0.2380 0.9274  3 La 3.32-3.61, 1 Tl 3.47, 3 Nd 3.55-3.60
La 0.9424 0.8272 0.2089  5 Nd 3.36-3.70, 2 La 3.59-3.60
La 0.6895 0.7620 0.7250  3 La 3.32-3.61, 1 Tl 3.47, 3 Nd 3.55-3.60
La 0.5053 0.0000 0.5053  4 La 3.32-3.60, 2 Nd 3.64
La 0.3817 0.1728 0.1152  5 Nd 3.36-3.70, 2 La 3.59-3.60
Nd 0.1165 0.6926 0.0388  5 La 3.36-3.73, 5 Nd 3.37-3.63
Nd 0.0016 0.0599 0.5723  1 Tl 3.33, 2 La 3.56-3.67, 3 Nd 3.63-3.66
Nd 0.0133 0.4350 0.3279  1 Tl 3.35, 4 Nd 3.45-3.55
Nd 0.5948 0.3711 0.8794  1 Tl 3.29, 5 Nd 3.37-3.66, 2 La 3.42-3.55
Nd 0.5083 0.6289 0.2236  1 Tl 3.29, 5 Nd 3.37-3.66, 2 La 3.42-3.55
Nd 0.5125 0.9401 0.9417  1 Tl 3.33, 2 La 3.56-3.67, 3 Nd 3.63-3.66
Nd 0.3462 0.3075 0.4240  5 La 3.36-3.73, 5 Nd 3.37-3.63
Nd 0.8930 0.5650 0.5784  1 Tl 3.35, 4 Nd 3.45-3.55
Tl 0.2821 0.5000 0.7821  6 Nd 3.29-3.35, 2 La 3.47

Properties
Space-group type: C2 (5)
Formation enthalpy at 0 K, kJ/mol of atoms: 8.4

---

The following is a PBE calculation of a relaxed La6Nd8Tl crystal, from the Alexandria database.

Lattice parameters (Å, degrees): 6.7077 9.6189 9.6189 120.00 90.00 90.00
With the nearest neighbours (Å) after each atom.
Fractional coordinates of all 15 atoms:
La 0.6712 0.6446 0.0903  1 La 3.35, 4 Nd 3.46-3.72
La 0.6712 0.9097 0.5543  1 La 3.35, 4 Nd 3.46-3.72
La 0.6712 0.4457 0.3554  1 La 3.35, 4 Nd 3.46-3.72
La 0.3288 0.3554 0.9097  1 La 3.35, 4 Nd 3.46-3.72
La 0.3288 0.0903 0.4457  1 La 3.35, 4 Nd 3.46-3.72
La 0.3288 0.5543 0.6446  1 La 3.35, 4 Nd 3.46-3.72
Nd 0.8187 0.0420 0.2661  1 Tl 3.20, 3 Nd 3.41-3.46, 1 La 3.46
Nd 0.8187 0.7339 0.7759  1 Tl 3.20, 3 Nd 3.41-3.46, 1 La 3.46
Nd 0.8187 0.2241 0.9580  1 Tl 3.20, 3 Nd 3.41-3.46, 1 La 3.46
Nd 0.1813 0.9580 0.7339  1 Tl 3.20, 3 Nd 3.41-3.46, 1 La 3.46
Nd 0.1813 0.2661 0.2241  1 Tl 3.20, 3 Nd 3.41-3.46, 1 La 3.46
Nd 0.1813 0.7759 0.0420  1 Tl 3.20, 3 Nd 3.41-3.46, 1 La 3.46
Nd 0.8629 0.3333 0.6667  3 Nd 3.46, 6 La 3.84-3.88
Nd 0.1371 0.6667 0.3333  3 Nd 3.46, 6 La 3.84-3.88
Tl 0.5000 0.0000 0.0000  6 Nd 3.20

Properties
Space-group type: P-3 (147)
Formation enthalpy at 0 K, kJ/mol of atoms: 4.8

---

The following is a PBE calculation of a relaxed La3Nd8Tl4 crystal, from the Alexandria database.

Lattice parameters (Å, degrees): 11.6361 9.3531 9.3531 87.02 128.73 128.73
With the nearest neighbours (Å) after each atom.
Fractional coordinates of all 15 atoms:
La 0.5000 0.5000 0.0000  6 Nd 3.23-3.39, 2 Tl 3.43
La 0.5000 0.0000 0.5000  6 Nd 3.23-3.39, 2 Tl 3.43
La 0.5000 0.5000 0.5000  6 Nd 3.34-3.60, 2 Tl 3.43
Nd 0.4984 0.2335 0.2335  2 Tl 3.18-3.46, 2 La 3.23, 2 Nd 3.31-3.56
Nd 0.0000 0.7433 0.2567  3 Tl 3.31-3.39, 2 La 3.36, 2 Nd 3.43
Nd 0.9934 0.2485 0.2485  4 Tl 3.22-3.44, 2 Nd 3.31-3.56, 1 La 3.42
Nd 0.5000 0.7595 0.2405  3 Tl 3.10-3.36, 3 La 3.34-3.39, 2 Nd 3.43
Nd 0.5000 0.2405 0.7595  3 Tl 3.10-3.36, 3 La 3.34-3.39, 2 Nd 3.43
Nd 0.0066 0.7515 0.7515  4 Tl 3.22-3.44, 2 Nd 3.31-3.56, 1 La 3.42
Nd 0.0000 0.2567 0.7433  3 Tl 3.31-3.39, 2 La 3.36, 2 Nd 3.43
Nd 0.5016 0.7665 0.7665  2 Tl 3.18-3.46, 2 La 3.23, 2 Nd 3.31-3.56
Tl 0.5000 0.0000 0.0000  6 Nd 3.10-3.31
Tl 0.0000 0.5000 0.0000  6 Nd 3.22-3.39, 2 La 3.43
Tl 0.0000 0.0000 0.0000  6 Nd 3.31-3.46, 2 La 3.43
Tl 0.0000 0.0000 0.5000  6 Nd 3.22-3.39, 2 La 3.43

Properties
Space-group type: C2/m (12)
Formation enthalpy at 0 K, kJ/mol of atoms: 4.3

---

The following is a PBE calculation of a relaxed La8Nd6Tl crystal, from the Alexandria database.

Lattice parameters (Å, degrees): 6.7942 9.5283 9.5283 120.00 90.00 90.00
With the nearest neighbours (Å) after each atom.
Fractional coordinates of all 15 atoms:
La 0.8251 0.0450 0.2737  1 Tl 3.28, 3 La 3.38-3.39, 3 Nd 3.44-3.66
La 0.8251 0.7263 0.7714  1 Tl 3.28, 3 La 3.38-3.39, 3 Nd 3.44-3.66
La 0.8251 0.2286 0.9550  1 Tl 3.28, 3 La 3.38-3.39, 3 Nd 3.44-3.66
La 0.1749 0.9550 0.7263  1 Tl 3.28, 3 La 3.38-3.39, 3 Nd 3.44-3.66
La 0.1749 0.2737 0.2286  1 Tl 3.28, 3 La 3.38-3.39, 3 Nd 3.44-3.66
La 0.1749 0.7714 0.0450  1 Tl 3.28, 3 La 3.38-3.39, 3 Nd 3.44-3.66
La 0.8742 0.3333 0.6667  3 La 3.38
La 0.1258 0.6667 0.3333  3 La 3.38
Nd 0.6600 0.6520 0.0945  1 Nd 3.34, 4 La 3.44-3.73
Nd 0.6600 0.9055 0.5575  1 Nd 3.34, 4 La 3.44-3.73
Nd 0.6600 0.4425 0.3480  1 Nd 3.34, 4 La 3.44-3.73
Nd 0.3400 0.3480 0.9055  1 Nd 3.34, 4 La 3.44-3.73
Nd 0.3400 0.0945 0.4425  1 Nd 3.34, 4 La 3.44-3.73
Nd 0.3400 0.5575 0.6520  1 Nd 3.34, 4 La 3.44-3.73
Tl 0.5000 0.0000 0.0000  6 La 3.28

Properties
Space-group type: P-3 (147)
Formation enthalpy at 0 K, kJ/mol of atoms: 5.1

---

The following is a PBE calculation of a relaxed La5Nd12Tl2 crystal, from the Alexandria database.

Lattice parameters (Å, degrees): 9.4954 9.2540 8.8040 93.11 90.00 120.87
With the nearest neighbours (Å) after each atom.
Fractional coordinates of all 19 atoms:
La 0.2329 0.4658 0.5826  8 Nd 3.42-3.75, 2 La 3.72-3.73
La 0.3094 0.6187 0.9913  2 Tl 3.48, 6 Nd 3.59-3.74, 1 La 3.72
La 0.0000 0.0000 0.5000  10 Nd 3.54-3.78, 2 La 3.73
La 0.6906 0.3813 0.0087  2 Tl 3.48, 6 Nd 3.59-3.74, 1 La 3.72
La 0.7671 0.5342 0.4174  8 Nd 3.42-3.75, 2 La 3.72-3.73
Nd 0.9225 0.8450 0.1138  5 Nd 3.27-3.66, 2 Tl 3.43, 1 La 3.54
Nd 0.0387 0.7105 0.7613  1 Tl 3.27, 3 Nd 3.42-3.66
Nd 0.6718 0.7105 0.7613  1 Tl 3.27, 3 Nd 3.42-3.66
Nd 0.1830 0.7510 0.3350  5 Nd 3.40-3.71, 4 La 3.49-3.77, 1 Tl 3.65
Nd 0.5681 0.7510 0.3350  5 Nd 3.40-3.71, 4 La 3.49-3.77, 1 Tl 3.65
Nd 0.4449 0.8899 0.6798  2 Tl 3.38, 7 Nd 3.40-3.71, 2 La 3.42-3.59
Nd 0.5551 0.1101 0.3202  2 Tl 3.38, 7 Nd 3.40-3.71, 2 La 3.42-3.59
Nd 0.8170 0.2490 0.6650  5 Nd 3.40-3.71, 4 La 3.49-3.77, 1 Tl 3.65
Nd 0.4319 0.2490 0.6650  5 Nd 3.40-3.71, 4 La 3.49-3.77, 1 Tl 3.65
Nd 0.9613 0.2895 0.2387  1 Tl 3.27, 3 Nd 3.42-3.66
Nd 0.3282 0.2895 0.2387  1 Tl 3.27, 3 Nd 3.42-3.66
Nd 0.0775 0.1550 0.8862  5 Nd 3.27-3.66, 2 Tl 3.43, 1 La 3.54
Tl 0.6823 0.0000 0.0000  8 Nd 3.27-3.65, 1 Tl 3.46, 2 La 3.48
Tl 0.3177 0.0000 0.0000  8 Nd 3.27-3.65, 1 Tl 3.46, 2 La 3.48

Properties
Space-group type: C2/m (12)
Formation enthalpy at 0 K, kJ/mol of atoms: -0.9

---

The following is a PBE calculation of a relaxed La3Nd2Tl4 crystal, from the Alexandria database.

Lattice parameters (Å, degrees): 5.1245 6.8138 10.5415 119.10 90.00 112.09
With the nearest neighbours (Å) after each atom.
Fractional coordinates of all 9 atoms:
La 0.6446 0.2892 0.6919  7 Tl 3.33-3.72, 3 Nd 3.68
La 0.0000 0.0000 0.0000  4 Tl 3.42, 4 Nd 3.79
La 0.3554 0.7108 0.3081  7 Tl 3.33-3.72, 3 Nd 3.68
Nd 0.6480 0.2960 0.3113  4 Tl 3.13-3.36
Nd 0.3520 0.7040 0.6887  4 Tl 3.13-3.36
Tl 0.6931 0.3862 0.0347  2 Tl 3.20, 1 Nd 3.25, 5 La 3.33-3.59
Tl 0.3069 0.6138 0.9653  2 Tl 3.20, 1 Nd 3.25, 5 La 3.33-3.59
Tl 0.9430 0.8859 0.6034  3 Nd 3.13-3.36, 1 Tl 3.18, 2 La 3.38
Tl 0.0570 0.1141 0.3966  3 Nd 3.13-3.36, 1 Tl 3.18, 2 La 3.38

Properties
Space-group type: C2/m (12)
Formation enthalpy at 0 K, kJ/mol of atoms: -29.0
E above lowest polymorph, eV/atom: 0.036

---

The following is a PBE calculation of a relaxed LaNd2Tl3 crystal, from the Alexandria database.

Lattice parameters (Å, degrees): 3.9079 3.9079 11.9534 90.00 90.00 90.00
With the nearest neighbours (Å) after each atom.
Fractional coordinates of all 6 atoms:
La 0.5000 0.5000 0.5000  8 Tl 3.45
Nd 0.5000 0.5000 0.8362  8 Tl 3.38-3.39
Nd 0.5000 0.5000 0.1638  8 Tl 3.38-3.39
Tl 0.0000 0.0000 0.0000  8 Nd 3.39
Tl 0.0000 0.0000 0.6734  4 Nd 3.38, 4 La 3.45
Tl 0.0000 0.0000 0.3266  4 Nd 3.38, 4 La 3.45

Properties
Space-group type: P4/mmm (123)
Formation enthalpy at 0 K, kJ/mol of atoms: -38.9